# InSIN2 | Alexandria | PBE-GGA | relaxed
# E_form (uncorrected) (eV/atom): 1.686
# Energy above the lowest structure with this stoichiometry (meV/atom): 221.2
data_InSIN2
_chemical_formula_sum 'In1 S1 I1 N2'
_cell_length_a 4.0343
_cell_length_b 4.0343
_cell_length_c 7.0086
_cell_angle_alpha 90.00
_cell_angle_beta 90.00
_cell_angle_gamma 90.00
_space_group_name_H-M_alt 'P 4/m m m'
_space_group_IT_number 123
_space_group_name_Hall '-P 4 2'
loop_
_atom_site_label
_atom_site_type_symbol
_atom_site_fract_x
_atom_site_fract_y
_atom_site_fract_z
In1 In 0.0000 0.0000 0.0000
S1 S 0.5000 0.5000 0.5000
I1 I 0.5000 0.5000 0.0000
N1 N 0.0000 0.5000 0.5000


# InSIN2 | Alexandria | PBE-GGA | relaxed
# E_form (uncorrected) (eV/atom): 1.527
# Energy above the lowest structure with this stoichiometry (meV/atom): 62.6
data_InSIN2
_chemical_formula_sum 'In1 S1 I1 N2'
_cell_length_a 4.0476
_cell_length_b 4.0476
_cell_length_c 5.5628
_cell_angle_alpha 90.00
_cell_angle_beta 90.00
_cell_angle_gamma 90.00
_space_group_name_H-M_alt 'P 4/m m m'
_space_group_IT_number 123
_space_group_name_Hall '-P 4 2'
loop_
_atom_site_label
_atom_site_type_symbol
_atom_site_fract_x
_atom_site_fract_y
_atom_site_fract_z
In1 In 0.0000 0.0000 0.0000
S1 S 0.5000 0.5000 0.0000
I1 I 0.5000 0.5000 0.5000
N1 N 0.0000 0.5000 0.5000


# InSbI2N | Alexandria | PBE-GGA | relaxed
# E_form (uncorrected) (eV/atom): 0.714
# Energy above the lowest structure with this stoichiometry (meV/atom): 376.0
data_InSbI2N
_chemical_formula_sum 'In1 Sb1 I2 N1'
_cell_length_a 5.0643
_cell_length_b 5.0643
_cell_length_c 5.0234
_cell_angle_alpha 90.00
_cell_angle_beta 90.00
_cell_angle_gamma 90.00
_space_group_name_H-M_alt 'P 4/m m m'
_space_group_IT_number 123
_space_group_name_Hall '-P 4 2'
loop_
_atom_site_label
_atom_site_type_symbol
_atom_site_fract_x
_atom_site_fract_y
_atom_site_fract_z
In1 In 0.0000 0.0000 0.0000
Sb1 Sb 0.5000 0.5000 0.0000
I1 I 0.0000 0.5000 0.5000
N1 N 0.5000 0.5000 0.5000


# InSb2IN | Alexandria | PBE-GGA | relaxed
# E_form (uncorrected) (eV/atom): 1.526
# Energy above the lowest structure with this stoichiometry (meV/atom): 837.4
data_InSb2IN
_chemical_formula_sum 'In1 Sb2 I1 N1'
_cell_length_a 5.7486
_cell_length_b 5.7486
_cell_length_c 6.2131
_cell_angle_alpha 90.00
_cell_angle_beta 90.00
_cell_angle_gamma 90.00
_space_group_name_H-M_alt 'P 4/m m m'
_space_group_IT_number 123
_space_group_name_Hall '-P 4 2'
loop_
_atom_site_label
_atom_site_type_symbol
_atom_site_fract_x
_atom_site_fract_y
_atom_site_fract_z
In1 In 0.0000 0.0000 0.0000
Sb1 Sb 0.0000 0.5000 0.0000
I1 I 0.0000 0.0000 0.5000
N1 N 0.5000 0.5000 0.5000


# InSb2IN | Alexandria | PBE-GGA | relaxed
# E_form (uncorrected) (eV/atom): 0.688
# Energy above the lowest structure with this stoichiometry (meV/atom): 0.0
data_InSb2IN
_chemical_formula_sum 'In1 Sb2 I1 N1'
_cell_length_a 4.9413
_cell_length_b 4.9413
_cell_length_c 4.8983
_cell_angle_alpha 90.00
_cell_angle_beta 90.00
_cell_angle_gamma 90.00
_space_group_name_H-M_alt 'P 4/m m m'
_space_group_IT_number 123
_space_group_name_Hall '-P 4 2'
loop_
_atom_site_label
_atom_site_type_symbol
_atom_site_fract_x
_atom_site_fract_y
_atom_site_fract_z
In1 In 0.0000 0.0000 0.0000
Sb1 Sb 0.0000 0.5000 0.5000
I1 I 0.5000 0.5000 0.0000
N1 N 0.5000 0.5000 0.5000


# InSbI2N | Alexandria | PBE-GGA | relaxed
# E_form (uncorrected) (eV/atom): 0.785
# Energy above the lowest structure with this stoichiometry (meV/atom): 447.1
data_InSbI2N
_chemical_formula_sum 'In1 Sb1 I2 N1'
_cell_length_a 6.1569
_cell_length_b 6.1569
_cell_length_c 4.1232
_cell_angle_alpha 90.00
_cell_angle_beta 90.00
_cell_angle_gamma 90.00
_space_group_name_H-M_alt 'P 4/m m m'
_space_group_IT_number 123
_space_group_name_Hall '-P 4 2'
loop_
_atom_site_label
_atom_site_type_symbol
_atom_site_fract_x
_atom_site_fract_y
_atom_site_fract_z
In1 In 0.0000 0.0000 0.0000
Sb1 Sb 0.5000 0.5000 0.5000
I1 I 0.0000 0.5000 0.0000
N1 N 0.0000 0.0000 0.5000


# InSbI2N | Alexandria | PBE-GGA | relaxed
# E_form (uncorrected) (eV/atom): 1.184
# Energy above the lowest structure with this stoichiometry (meV/atom): 846.2
data_InSbI2N
_chemical_formula_sum 'In1 Sb1 I2 N1'
_cell_length_a 6.1039
_cell_length_b 6.1039
_cell_length_c 5.8095
_cell_angle_alpha 90.00
_cell_angle_beta 90.00
_cell_angle_gamma 90.00
_space_group_name_H-M_alt 'P 4/m m m'
_space_group_IT_number 123
_space_group_name_Hall '-P 4 2'
loop_
_atom_site_label
_atom_site_type_symbol
_atom_site_fract_x
_atom_site_fract_y
_atom_site_fract_z
In1 In 0.0000 0.0000 0.0000
Sb1 Sb 0.0000 0.0000 0.5000
I1 I 0.0000 0.5000 0.0000
N1 N 0.5000 0.5000 0.5000


# InSbIN2 | Alexandria | PBE-GGA | relaxed
# E_form (uncorrected) (eV/atom): 1.534
# Energy above the lowest structure with this stoichiometry (meV/atom): 386.2
data_InSbIN2
_chemical_formula_sum 'In1 Sb1 I1 N2'
_cell_length_a 4.4597
_cell_length_b 4.4597
_cell_length_c 6.3025
_cell_angle_alpha 90.00
_cell_angle_beta 90.00
_cell_angle_gamma 90.00
_space_group_name_H-M_alt 'P 4/m m m'
_space_group_IT_number 123
_space_group_name_Hall '-P 4 2'
loop_
_atom_site_label
_atom_site_type_symbol
_atom_site_fract_x
_atom_site_fract_y
_atom_site_fract_z
In1 In 0.0000 0.0000 0.0000
Sb1 Sb 0.5000 0.5000 0.5000
I1 I 0.0000 0.0000 0.5000
N1 N 0.0000 0.5000 0.0000


# InSbIN2 | Alexandria | PBE-GGA | relaxed
# E_form (uncorrected) (eV/atom): 1.148
# Energy above the lowest structure with this stoichiometry (meV/atom): 0.0
data_InSbIN2
_chemical_formula_sum 'In1 Sb1 I1 N2'
_cell_length_a 4.2900
_cell_length_b 4.2900
_cell_length_c 6.2406
_cell_angle_alpha 90.00
_cell_angle_beta 90.00
_cell_angle_gamma 90.00
_space_group_name_H-M_alt 'P 4/m m m'
_space_group_IT_number 123
_space_group_name_Hall '-P 4 2'
loop_
_atom_site_label
_atom_site_type_symbol
_atom_site_fract_x
_atom_site_fract_y
_atom_site_fract_z
In1 In 0.0000 0.0000 0.0000
Sb1 Sb 0.5000 0.5000 0.5000
I1 I 0.5000 0.5000 0.0000
N1 N 0.0000 0.5000 0.5000


# InSbI2N | Alexandria | PBE-GGA | relaxed
# E_form (uncorrected) (eV/atom): 0.338
# Energy above the lowest structure with this stoichiometry (meV/atom): 0.0
data_InSbI2N
_chemical_formula_sum 'In1 Sb1 I2 N1'
_cell_length_a 6.2757
_cell_length_b 6.2757
_cell_length_c 4.0623
_cell_angle_alpha 90.00
_cell_angle_beta 90.00
_cell_angle_gamma 90.00
_space_group_name_H-M_alt 'P 4/m m m'
_space_group_IT_number 123
_space_group_name_Hall '-P 4 2'
loop_
_atom_site_label
_atom_site_type_symbol
_atom_site_fract_x
_atom_site_fract_y
_atom_site_fract_z
In1 In 0.0000 0.0000 0.0000
Sb1 Sb 0.5000 0.5000 0.5000
I1 I 0.0000 0.5000 0.5000
N1 N 0.5000 0.5000 0.0000


# ScInIN2 | Alexandria | PBE-GGA | relaxed
# E_form (uncorrected) (eV/atom): 0.517
# Energy above the lowest structure with this stoichiometry (meV/atom): 0.0
data_ScInIN2
_chemical_formula_sum 'Sc1 In1 I1 N2'
_cell_length_a 4.4426
_cell_length_b 4.4426
_cell_length_c 5.9072
_cell_angle_alpha 90.00
_cell_angle_beta 90.00
_cell_angle_gamma 90.00
_space_group_name_H-M_alt 'P 4/m m m'
_space_group_IT_number 123
_space_group_name_Hall '-P 4 2'
loop_
_atom_site_label
_atom_site_type_symbol
_atom_site_fract_x
_atom_site_fract_y
_atom_site_fract_z
Sc1 Sc 0.0000 0.0000 0.0000
In1 In 0.5000 0.5000 0.5000
I1 I 0.0000 0.0000 0.5000
N1 N 0.0000 0.5000 0.0000


# ScInIN2 | Alexandria | PBE-GGA | relaxed
# E_form (uncorrected) (eV/atom): 1.077
# Energy above the lowest structure with this stoichiometry (meV/atom): 559.9
data_ScInIN2
_chemical_formula_sum 'Sc1 In1 I1 N2'
_cell_length_a 4.3091
_cell_length_b 4.3091
_cell_length_c 5.8035
_cell_angle_alpha 90.00
_cell_angle_beta 90.00
_cell_angle_gamma 90.00
_space_group_name_H-M_alt 'P 4/m m m'
_space_group_IT_number 123
_space_group_name_Hall '-P 4 2'
loop_
_atom_site_label
_atom_site_type_symbol
_atom_site_fract_x
_atom_site_fract_y
_atom_site_fract_z
Sc1 Sc 0.0000 0.0000 0.0000
In1 In 0.5000 0.5000 0.5000
I1 I 0.5000 0.5000 0.0000
N1 N 0.0000 0.5000 0.5000


For each record above, in turn, the calculated total moment values are 1.99; 0.00; 0.00; 4.72; 0.00; 0.00; 4.66; 1.85; 1.19; 0.00; 2.90; 1.09 μB/cell.
For each record above, in turn, the calculated N(E_F) values are 2.8; 2.8; 3.7; 4.2; 3.4; 9.4; 2.6; 3.0; 1.2; 1.3; 2.2; 3.3 states/eV/cell.
For each record above, in turn, the calculated density values are 4.4; 5.5; 6.5; 4.0; 6.9; 5.4; 3.9; 5.2; 5.7; 5.2; 4.5; 4.8 g/cm3.